PBE-GGA LaSb2Te, relaxed; symmetry = No. 99; crystal system = tetragonal; DOS at the Fermi energy = 2.34 states/eV per cell; VASP energy = -19.05 eV/cell
1.0
-3.7701 -1.9396 1.0947
1.1069 0.2350 4.2301
-2.9501 5.9822 0.4396
La Sb Te
1 2 1
Cartesian
-3.3979 3.3377 2.9702
-0.2005 0.4065 0.0299
-1.8488 0.1964 2.7394
-1.6413 3.3282 0.2445


PBE-GGA LiEr4Tl3, relaxed; symmetry = No. 69; crystal system = orthorhombic; DOS at the Fermi energy = 5.68 states/eV per cell; excess energy over the best structure of this formula in the dataset = 0 meV per atom
1.0
4.9776 0.0050 -1.3454
-0.3523 4.9705 -1.3254
-0.3467 -0.4067 8.6203
Tl Er Li
3 4 1
Cartesian
-0.1762 2.4852 -0.6627
3.4546 1.0249 2.9059
0.8239 3.5439 3.0435
1.4765 1.5629 5.4711
2.8020 3.0058 0.4784
0.4894 0.5181 1.8138
3.7891 4.0507 4.1356
2.4888 0.0025 -0.6727


PBE-GGA RbBi2Ir, relaxed; symmetry = No. 123; crystal system = tetragonal; DOS at the Fermi energy = 1.09 states/eV per cell; excess energy over the best structure of this formula in the dataset = 172 meV per atom
1.0
3.5193 0.0000 0.0000
0.0000 3.5193 0.0000
0.0000 0.0000 9.2463
Ir Bi Rb
1 2 1
Cartesian
1.7596 1.7596 0.0000
0.0000 0.0000 7.6314
0.0000 0.0000 1.6149
1.7596 1.7596 4.6232


PBE-GGA Rb12S3F5, relaxed; symmetry = No. 230; crystal system = cubic; DOS at the Fermi energy = 4.20 states/eV per cell; VASP energy = -270.91 eV/cell
1.0
15.4501 0.0000 0.0000
-5.1500 14.5665 0.0000
-5.1500 -7.2832 12.6149
S F Rb
12 20 48
Cartesian
9.0126 4.5520 1.5769
9.0126 10.0145 1.5769
-1.2875 6.3728 7.8843
1.2875 -0.9104 4.7306
11.5876 0.0000 3.1537
1.2875 7.2832 3.1537
3.8625 0.0000 9.4612
-6.4375 7.2832 9.4612
3.8625 8.1936 7.8843
6.4375 0.9104 4.7306
-3.8625 -2.7312 11.0381
-3.8625 2.7312 11.0381
-1.2875 3.6416 3.1537
-2.5750 7.2832 0.0000
0.0000 0.0000 0.0000
3.8625 2.7312 1.5769
5.1500 -3.6416 6.3075
5.1500 7.2832 0.0000
-3.8625 8.1936 4.7306
6.4375 -4.5520 11.0381
6.4375 6.3728 4.7306
1.2875 -3.6416 9.4612
3.8625 10.9249 3.1537
2.5750 3.6416 6.3075
7.7250 0.0000 0.0000
-2.5750 -3.6416 6.3075
-1.2875 0.9104 7.8843
-1.2875 11.8353 1.5769
-5.1500 3.6416 6.3075
9.0126 -0.9104 7.8843
1.2875 4.5520 11.0381
6.4375 3.6416 9.4612
10.1588 1.6209 0.4199
0.1412 4.8157 5.1137
11.5326 3.3170 3.6425
6.4925 2.1456 1.6137
1.8581 5.4227 8.5526
10.9569 7.3655 2.2451
-1.2325 8.4546 5.2561
-3.9175 12.4208 1.6137
0.7169 9.1438 8.5526
7.0682 7.2010 2.2451
7.8663 4.0884 4.6938
7.8663 12.9456 0.4199
-4.4331 6.4765 6.7273
3.2319 5.2978 1.0514
-5.2913 10.4780 4.6938
2.7163 -2.4676 7.5013
-0.7169 1.0538 2.6650
3.2319 9.1865 1.1938
6.4925 11.2495 3.6425
-0.6569 5.3800 1.1938
-3.2919 8.3371 9.9499
3.8075 6.1119 5.2561
7.0081 8.0900 6.7273
5.8069 -1.9855 11.5636
1.3425 1.1713 7.3588
-1.8581 -0.8067 5.8876
-0.6569 9.2687 1.0514
-1.3425 -3.9663 8.9725
8.4420 -1.0538 2.6650
5.8069 1.9032 11.4212
1.9182 -1.9032 11.4212
2.4338 9.7508 5.1137
5.8669 6.2294 9.9499
10.4413 -3.1948 7.9211
9.5831 0.8067 5.8876
-2.7163 -5.6624 12.1951
1.9182 1.9855 11.5636
4.4331 -1.8606 4.0623
-1.9182 0.0822 10.3698
-2.7163 3.1948 7.9211
9.0675 -5.1376 11.0013
6.3826 -1.1713 7.3588
-1.3425 5.1376 11.0013
-5.8069 -0.0822 10.3698
3.2919 1.8606 4.0623
-6.3826 3.9663 8.9725
5.0088 2.4676 7.5013
-5.0088 5.6624 12.1951


PBE-GGA Pr6AlCd, relaxed; symmetry = No. 12; crystal system = monoclinic; DOS at the Fermi energy = 12.54 states/eV per cell; excess energy over the best structure of this formula in the dataset = 261 meV per atom
1.0
-4.7696 4.9002 -2.1494
-1.8962 -4.2176 5.4770
5.2309 3.7196 2.4761
Pr Al Cd
6 1 1
Cartesian
2.3322 2.9539 2.6529
-0.7376 2.9490 -0.2033
-3.7671 1.4483 3.1509
-1.8715 5.1794 2.8904
-0.6973 1.4531 6.0071
0.4366 -0.7772 2.9134
0.0000 0.0000 0.0000
-0.7174 2.2011 2.9019


PBE-GGA Ba4In3Ge5, relaxed; symmetry = No. 12; crystal system = monoclinic; DOS at the Fermi energy = 6.02 states/eV per cell; VASP energy = -43.20 eV/cell
1.0
-3.2651 4.0619 -0.1347
-5.0555 -0.5072 6.3611
3.2329 6.2249 8.4615
Ba In Ge
4 3 5
Cartesian
-1.5787 9.0548 8.6612
-2.2706 5.2269 10.8848
-2.8171 4.5527 3.8031
-3.5090 0.7248 6.0267
-4.4617 3.3989 8.8741
-0.9113 2.8588 7.4113
-0.6260 6.3807 5.8138
-3.7023 7.5065 13.4447
-2.5438 4.8898 7.3439
-2.8894 1.1173 2.8447
-2.1983 8.6623 11.8432
-1.3854 2.2731 1.2432